No. 1
Ba2NaIrN6: relaxed, PBE.

```
Ba2NaIrN6
1.0
5.1647 -3.0415 0.0000
5.1647 3.0415 0.0000
-3.5852 0.0000 4.9172
Ba Na Ir N
2 1 1 6
direct
0.2499 0.2499 0.2494
0.7501 0.7501 0.7506
0.5000 0.5000 0.0000
0.0000 0.0000 0.5000
0.2234 0.2234 0.7205
0.2311 0.7656 0.2650
0.2344 0.7689 0.7350
0.7656 0.2311 0.2650
0.7689 0.2344 0.7350
0.7766 0.7766 0.2795
```

Computed properties:
The space-group type is C2/m, No. 12. The value obtained for the volume is 15.45 Å³/atom. The energy above the most stable polymorph in this dataset comes out at 0.0 meV per atom.

No. 2
TaBeCuSi: relaxed, PBE.

```
TaBeCuSi
1.0
0.0000 2.9644 2.9644
2.9644 0.0000 2.9644
2.9644 2.9644 0.0000
Ta Be Cu Si
1 1 1 1
direct
0.0000 0.0000 0.0000
0.7500 0.7500 0.7500
0.5000 0.5000 0.5000
0.2500 0.2500 0.2500
```

Computed properties:
The space-group type is F-43m, No. 216. The value obtained for the volume is 13.02 Å³/atom. The energy above the most stable polymorph in this dataset comes out at 0.0 meV per atom.

No. 3
ZrTc2Ir: relaxed, PBE.

```
ZrTc2Ir
1.0
0.0000 3.1956 3.1956
3.1956 0.0000 3.1956
3.1956 3.1956 0.0000
Zr Tc Ir
1 2 1
direct
0.0000 0.0000 0.0000
0.5000 0.5000 0.5000
0.7500 0.7500 0.7500
0.2500 0.2500 0.2500
```

Computed properties:
The space-group type is F-43m, No. 216. The energy of formation from the pure elements comes out at -0.068 eV/atom. The value obtained for the volume is 16.32 Å³/atom.

No. 4
SrCo2Ir: relaxed, PBE.

```
SrCo2Ir
1.0
0.0000 3.2363 3.2363
3.2363 0.0000 3.2363
3.2363 3.2363 0.0000
Sr Co Ir
1 2 1
direct
0.0000 0.0000 0.0000
0.5000 0.5000 0.5000
0.7500 0.7500 0.7500
0.2500 0.2500 0.2500
```

Computed properties:
The space-group type is F-43m, No. 216. The value obtained for the volume is 16.95 Å³/atom.

No. 5
CsSbPt: relaxed, PBE.

```
CsSbPt
1.0
7.6571 0.0000 0.0000
0.0000 7.5486 0.0000
-3.7369 0.0000 7.3519
Cs Sb Pt
4 4 4
direct
0.1725 0.1343 0.3955
0.1725 0.3657 0.8955
0.8275 0.6343 0.1045
0.8275 0.8657 0.6045
0.3134 0.6419 0.5861
0.3134 0.8581 0.0861
0.6866 0.1419 0.9139
0.6866 0.3581 0.4139
0.4368 0.6177 0.3389
0.4368 0.8823 0.8389
0.5632 0.1177 0.1611
0.5632 0.3823 0.6611
```

Computed properties:
The space-group type is P2_1/c, No. 14. The value obtained for the volume is 35.41 Å³/atom.

No. 6
ThZn: relaxed, PBE.

```
ThZn
1.0
5.0442 0.0000 0.0000
0.0000 12.6577 0.0000
0.0000 0.0000 6.0672
Th Zn
8 8
direct
0.2500 0.0839 0.0856
0.2500 0.2500 0.5845
0.2500 0.4161 0.0856
0.2500 0.7500 0.8048
0.7500 0.2500 0.1952
0.7500 0.5839 0.9144
0.7500 0.7500 0.4155
0.7500 0.9161 0.9144
0.2500 0.5140 0.6064
0.2500 0.6391 0.2669
0.2500 0.8609 0.2669
0.2500 0.9860 0.6064
0.7500 0.0140 0.3936
0.7500 0.1391 0.7331
0.7500 0.3609 0.7331
0.7500 0.4860 0.3936
```

Computed properties:
The space-group type is Pmmn, No. 59. The energy of formation from the pure elements comes out at -0.074 eV/atom. The value obtained for the volume is 24.21 Å³/atom.

no.,total DFT energy (no corrections) (eV per atom)
1,-5.659
2,-5.998
3,-9.598
4,-5.446
5,-4.179
6,-4.413